No. 1
The following is a DFT calculation (PBE-GGA) of Tm5Al2In2 after structural relaxation.

a = 8.866 Å, b = 8.866 Å, c = 7.677 Å
α = 90.00°, β = 90.00°, γ = 52.08°
Fractional positions:
Tm  0.000  0.000  0.000
Tm  0.055  0.683  0.681
Tm  0.183  0.555  0.181
Tm  0.317  0.945  0.681
Tm  0.445  0.817  0.181
Tm  0.500  0.500  0.500
Tm  0.555  0.183  0.819
Tm  0.683  0.055  0.319
Tm  0.817  0.445  0.819
Tm  0.945  0.317  0.319
Al  0.118  0.882  0.381
Al  0.382  0.618  0.881
Al  0.618  0.382  0.119
Al  0.882  0.118  0.619
In  0.220  0.220  0.000
In  0.280  0.280  0.500
In  0.720  0.720  0.500
In  0.780  0.780  0.000

Properties
ΔE_f = -0.338 eV per atom

No. 2
The following is a DFT calculation (PBE-GGA) of Tm4AlIn after structural relaxation.

a = 8.759 Å, b = 8.759 Å, c = 8.759 Å
α = 33.50°, β = 33.50°, γ = 33.50°
Fractional positions:
Tm  0.122  0.122  0.122
Tm  0.372  0.372  0.372
Tm  0.628  0.628  0.628
Tm  0.878  0.878  0.878
Al  0.000  0.000  0.000
In  0.500  0.500  0.500

Properties
Relative energy among the computed polymorphs = 1.37 eV per formula unit
ΔE_f = -0.051 eV per atom

No. 3
The following is a DFT calculation (PBE-GGA) of TmAlIn2 after structural relaxation.

a = 11.115 Å, b = 11.115 Å, c = 11.115 Å
α = 17.30°, β = 17.30°, γ = 17.30°
Fractional positions:
Tm  0.000  0.000  0.000
Al  0.500  0.500  0.500
In  0.095  0.095  0.095
In  0.905  0.905  0.905

Properties
ΔE_f = 0.198 eV per atom

No. 4
The following is a DFT calculation (PBE-GGA) of Tm4AlIn2 after structural relaxation.

a = 8.885 Å, b = 8.885 Å, c = 8.885 Å
α = 33.53°, β = 33.53°, γ = 33.53°
Fractional positions:
Tm  0.123  0.123  0.123
Tm  0.374  0.374  0.374
Tm  0.626  0.626  0.626
Tm  0.877  0.877  0.877
Al  0.500  0.500  0.500
In  0.251  0.251  0.251
In  0.749  0.749  0.749

Properties
Relative energy among the computed polymorphs = 0.00 eV per formula unit
ΔE_f = -0.245 eV per atom

> Look up the ΔE_f of the second one.

-0.051 eV per atom

What did the fourth record say?
The following is a DFT calculation (PBE-GGA) of Tm4AlIn2 after structural relaxation.

a = 8.885 Å, b = 8.885 Å, c = 8.885 Å
α = 33.53°, β = 33.53°, γ = 33.53°
Fractional positions:
Tm  0.123  0.123  0.123
Tm  0.374  0.374  0.374
Tm  0.626  0.626  0.626
Tm  0.877  0.877  0.877
Al  0.500  0.500  0.500
In  0.251  0.251  0.251
In  0.749  0.749  0.749

Properties
Relative energy among the computed polymorphs = 0.00 eV per formula unit
ΔE_f = -0.245 eV per atom

> What is the formula in the second record?

Tm4AlIn

> Look up the ΔE_f of the fourth one.

-0.245 eV per atom